CaAcRu, relaxed, DFT PBE; SG = P-6m2; E_form = 0.68 eV per formula unit; excess energy over the best structure of this formula in the dataset = 263 meV/atom
1.0
-4.036 0.422 1.131
1.042 -1.766 4.377
0.269 4.757 -0.814
Ru Ac Ca
1 1 1
Cartesian
0.111 0.479 2.836 Ru
-0.673 0.070 0.189 Ac
-2.164 2.864 1.671 Ca